Computed, not measured: RbPIr2 after structural relaxation at the GGA-PBE level of DFT.

Properties
**Energy of formation**: -82 meV/atom
**V**: 26.16 Å³/atom
**E**: -48.86 eV/cell

Geometry as POSCAR:
```
RbPIr2
1.0
4.2990 -0.0003 -0.0001
-2.1440 6.7993 0.0008
-0.0028 -2.1861 7.1599
Rb P Ir
2 2 4
direct
0.3810 0.8585 0.6227
0.9279 0.9577 0.1734
0.2402 0.5830 0.9289
0.6562 0.4140 0.2433
0.1155 0.3329 0.6587
0.6607 0.4235 0.9247
0.1820 0.4658 0.1812
0.6174 0.3368 0.5113
```